1.
A plane-wave DFT calculation with GGA-PBE was carried out for a geometry-optimized Na2Pb2Cl7 structure.

Results
- Formation energy (no corrections): -12.65 eV/f.u.
- Space-group type: Cmmm (65)
- E: -3.24 eV/atom

Structure (extended XYZ):
```
11
Lattice="7.0290 -0.0028 0.7292 0.0039 7.1498 0.0024 0.2899 -0.0039 7.0608" Properties=species:S:1:pos:R:3 pbc="T T T"
Cl 3.6588 1.8742 3.8972
Cl 3.8098 5.3141 7.4258
Cl 7.1734 1.8257 4.2627
Cl 3.5130 1.8290 0.3667
Cl 0.0000 0.0000 0.0000
Cl 0.1494 5.3174 3.5298
Cl 3.6640 5.2689 3.8952
Pb 2.0998 3.5730 2.2340
Pb 5.2231 3.5701 5.5584
Na 5.1545 -0.0030 2.4904
Na 2.1683 7.1461 5.3021
```

---

2.
A plane-wave DFT calculation with GGA-PBE was carried out for a geometry-optimized K3B12H12I structure.

Results
- Space-group type: R-3m (166)
- E: -4.93 eV/atom

Structure (extended XYZ):
```
28
Lattice="-5.8776 -3.0546 -2.3487 3.5452 -6.0557 0.3911 -2.0236 -0.2123 6.7270" Properties=species:S:1:pos:R:3 pbc="T T T"
H -0.3888 -5.7840 4.9927
H -2.1610 -7.4468 4.9685
H 0.5966 -2.7650 0.6126
H -2.1949 -1.8759 -0.1991
H -3.3028 -8.2888 2.2798
H -1.0531 -1.0338 2.4896
H -4.9526 -6.5577 4.1569
H -5.2878 -4.2237 3.5682
H -1.9634 -2.0609 4.4954
H -3.9672 -3.5386 -0.2232
H -2.3925 -7.2617 0.2741
H 0.9318 -5.0990 1.2012
K -3.9506 -1.6334 2.1892
K -1.1662 -4.5552 -0.9788
K 0.7608 -3.1340 3.5591
B 0.3475 -1.6161 0.3585
B -2.3702 -8.0363 -0.6512
B 2.0214 -5.4912 0.8613
B -0.6157 -0.6053 1.4545
B -1.2823 -1.0970 -0.1154
B -3.7403 -8.7173 3.3150
B -4.7035 -7.7066 4.4109
B -3.0736 -8.2257 4.8848
B -6.3774 -3.8314 3.9081
B -1.9858 -1.2863 5.4207
B -4.7591 -3.3317 -1.1101
B 0.4031 -5.9910 5.8796
I -2.1780 -4.6613 2.3847
```

---

3.
A plane-wave DFT calculation with GGA-PBE was carried out for a geometry-optimized Rb2AgSe structure.

Results
- Formation energy (no corrections): -0.41 eV/f.u.
- Space-group type: I-42d (122)
- E: -2.17 eV/atom

Structure (extended XYZ):
```
8
Lattice="5.8840 0.0000 0.0000 0.0000 5.8840 0.0000 2.9420 2.9420 10.6054" Properties=species:S:1:pos:R:3 pbc="T T T"
Rb 4.2947 1.4710 2.6513
Rb 1.5893 4.4130 2.6513
Rb 4.4130 4.5313 7.9540
Rb 7.3550 7.2367 7.9540
Ag 5.8840 2.9420 5.3027
Ag 0.0000 0.0000 0.0000
Se 2.9420 2.9420 0.0000
Se 2.9420 5.8840 5.3027
```

---

Which value of E does entry 2 give?
-4.93 eV/atom